(1)
## HfCo2Sn (PBE-GGA)

Data for a relaxed HfCo2Sn crystal.

Summary:
Its space group is P6_3/mmc. The value obtained for the volume is 141 Å³/cell. Its uncorrected energy is -6.68 eV/atom.

Cell: 4.6970 4.6970 7.3761 Å, 90.00 90.00 120.00°
Last column: nearest neighbours and their distance in Å.
Atoms (fractional coordinates):
1 Co 0.3333 0.6667 0.0939  1 Co 2.30, 1 Hf 2.54
2 Co 0.3333 0.6667 0.4061  1 Co 2.30, 1 Hf 2.54
3 Co 0.6667 0.3333 0.5939  1 Co 2.30, 1 Hf 2.54
4 Co 0.6667 0.3333 0.9061  1 Co 2.30, 1 Hf 2.54
5 Hf 0.6667 0.3333 0.2500  2 Co 2.54, 3 Sn 2.71
6 Hf 0.3333 0.6667 0.7500  2 Co 2.54, 3 Sn 2.71
7 Sn 0.0000 0.0000 0.2500  3 Hf 2.71, 6 Co 2.95
8 Sn 0.0000 0.0000 0.7500  3 Hf 2.71, 6 Co 2.95

***

(2)
## HfCo2Sn (PBE-GGA)

Data for a relaxed HfCo2Sn crystal.

Summary:
Its space group is P6_3/mmc. The value obtained for the volume is 125 Å³/cell. Its uncorrected energy is -7.36 eV/atom.

Cell: 4.2286 4.2286 8.0795 Å, 90.00 90.00 120.00°
Last column: nearest neighbours and their distance in Å.
Atoms (fractional coordinates):
1 Co 0.6667 0.3333 0.0990  1 Co 2.44, 3 Sn 2.57, 3 Hf 2.73
2 Co 0.6667 0.3333 0.4010  1 Co 2.44, 3 Sn 2.57, 3 Hf 2.73
3 Co 0.3333 0.6667 0.5990  1 Co 2.44, 3 Sn 2.57, 3 Hf 2.73
4 Co 0.3333 0.6667 0.9010  1 Co 2.44, 3 Sn 2.57, 3 Hf 2.73
5 Hf 0.3333 0.6667 0.2500  8 Co 2.73-2.82
6 Hf 0.6667 0.3333 0.7500  8 Co 2.73-2.82
7 Sn 0.0000 0.0000 0.0000  6 Co 2.57
8 Sn 0.0000 0.0000 0.5000  6 Co 2.57

***

(3)
## YHfCoSn (PBE-GGA)

Data for a relaxed YHfCoSn crystal.

Summary:
The excess energy over the best structure of this formula in the dataset comes out at 0.000 eV per atom. Its space group is F-43m. The value obtained for the volume is 80 Å³/cell. Its uncorrected energy is -6.71 eV/atom.

Cell: 4.8377 4.8377 4.8377 Å, 60.00 60.00 60.00°
Last column: nearest neighbours and their distance in Å.
Atoms (fractional coordinates):
1 Co 0.7500 0.7500 0.7500  4 Sn 2.96, 4 Y 2.96
2 Hf 0.2500 0.2500 0.2500  4 Y 2.96, 4 Sn 2.96
3 Sn 0.0000 0.0000 0.0000  4 Hf 2.96, 4 Co 2.96
4 Y 0.5000 0.5000 0.5000  4 Co 2.96, 4 Hf 2.96

***

Question: Which of these has the lowest volume?
Answer: YHfCoSn